Entry 1:
# BeP2Cl | Alexandria via LeMat-Bulk | PBE-GGA | optimized geometry
data_BeP2Cl
_chemical_formula_sum 'Be1 P2 Cl1'
_cell_length_a 3.225
_cell_length_b 3.225
_cell_length_c 6.345
_cell_angle_alpha 90.00
_cell_angle_beta 90.00
_cell_angle_gamma 90.00
_symmetry_space_group_name_H-M 'P 4/m m m'
_symmetry_Int_Tables_number 123
_symmetry_space_group_name_Hall '-P 4 2'
loop_
_atom_site_label
_atom_site_type_symbol
_atom_site_fract_x
_atom_site_fract_y
_atom_site_fract_z
Be1 Be 0.000 0.000 0.000
P1 P 0.000 0.500 0.500
Cl1 Cl 0.500 0.500 0.000
# Density ... 2.7 g/cm3
# Energy above the lowest structure with this stoichiometry ... 2.93 eV/f.u.
# DOS(E_F) ... 1.33 states/eV/f.u.
# Formation energy (no corrections) ... 0.348 eV/atom



Entry 2:
# ThMgSc2Ga4 | Alexandria via LeMat-Bulk | PBE-GGA | optimized geometry
data_ThMgSc2Ga4
_chemical_formula_sum 'Th3 Mg3 Sc6 Ga12'
_cell_length_a 4.6748
_cell_length_b 4.6748
_cell_length_c 26.6751
_cell_angle_alpha 90.00
_cell_angle_beta 90.00
_cell_angle_gamma 120.00
_symmetry_space_group_name_H-M 'R -3 m'
_symmetry_Int_Tables_number 166
_symmetry_space_group_name_Hall '-R 3 2"'
loop_
_atom_site_label
_atom_site_type_symbol
_atom_site_fract_x
_atom_site_fract_y
_atom_site_fract_z
Th1 Th 0.0000 0.0000 0.0000
Mg1 Mg 0.0000 0.0000 0.5000
Sc1 Sc 0.0000 0.0000 0.2350
Ga1 Ga 0.0000 0.0000 0.1259
Ga2 Ga 0.0000 0.0000 0.3907
# Density ... 6.2 g/cm3
# DOS(E_F) ... 3.86 states/eV/f.u.
# DFT total energy ... -0.343 Ry per atom



Entry 3:
# TaPHCl2 | Alexandria via LeMat-Bulk | PBE-GGA | optimized geometry
data_TaPHCl2
_chemical_formula_sum 'Ta1 P1 H1 Cl2'
_cell_length_a 4.676
_cell_length_b 4.676
_cell_length_c 3.293
_cell_angle_alpha 90.00
_cell_angle_beta 90.00
_cell_angle_gamma 90.00
_symmetry_space_group_name_H-M 'P 4/m m m'
_symmetry_Int_Tables_number 123
_symmetry_space_group_name_Hall '-P 4 2'
loop_
_atom_site_label
_atom_site_type_symbol
_atom_site_fract_x
_atom_site_fract_y
_atom_site_fract_z
Ta1 Ta 0.000 0.000 0.000
P1 P 0.500 0.500 0.000
H1 H 0.500 0.500 0.500
Cl1 Cl 0.000 0.500 0.500
# Density ... 6.5 g/cm3
# Energy above the lowest structure with this stoichiometry ... 2.84 eV/f.u.
# DOS(E_F) ... 3.17 states/eV/f.u.



Entry 4:
# Ac2Mg12In5 | Alexandria via LeMat-Bulk | PBE-GGA | optimized geometry
data_Ac2Mg12In5
_chemical_formula_sum 'Ac6 Mg36 In15'
_cell_length_a 10.5657
_cell_length_b 10.5657
_cell_length_c 15.0576
_cell_angle_alpha 90.00
_cell_angle_beta 90.00
_cell_angle_gamma 120.00
_symmetry_space_group_name_H-M 'R -3 m'
_symmetry_Int_Tables_number 166
_symmetry_space_group_name_Hall '-R 3 2"'
loop_
_atom_site_label
_atom_site_type_symbol
_atom_site_fract_x
_atom_site_fract_y
_atom_site_fract_z
Ac1 Ac 0.0000 0.0000 0.1719
Mg1 Mg 0.0000 0.3042 0.5000
Mg2 Mg 0.0092 0.5046 0.6550
In1 In 0.0000 0.0000 0.4021
In2 In 0.0000 0.5000 0.0000
# Density ... 4.5 g/cm3
# DOS(E_F) ... 8.12 states/eV/f.u.
# DFT total energy ... -0.170 Ry per atom



Entry 5:
# Sm5Dy3In | Alexandria via LeMat-Bulk | PBE-GGA | optimized geometry
data_Sm5Dy3In
_chemical_formula_sum 'Sm20 Dy12 In4'
_cell_length_a 13.644
_cell_length_b 7.948
_cell_length_c 11.457
_cell_angle_alpha 90.00
_cell_angle_beta 95.92
_cell_angle_gamma 90.00
_symmetry_space_group_name_H-M 'C 1 2/m 1'
_symmetry_Int_Tables_number 12
loop_
_symmetry_equiv_pos_as_xyz
'x,y,z'
'-x,-y,-z'
'-x,y,-z'
'x,-y,z'
'x+1/2,y+1/2,z'
'-x+1/2,-y+1/2,-z'
'-x+1/2,y+1/2,-z'
'x+1/2,-y+1/2,z'
loop_
_atom_site_label
_atom_site_type_symbol
_atom_site_fract_x
_atom_site_fract_y
_atom_site_fract_z
Sm1 Sm 0.000 0.169 0.000
Sm2 Sm 0.008 0.000 0.371
Sm3 Sm 0.126 0.286 0.755
Sm4 Sm 0.238 0.500 0.036
Dy1 Dy 0.000 0.500 0.000
Dy2 Dy 0.000 0.500 0.500
Dy3 Dy 0.167 0.000 0.216
Dy4 Dy 0.241 0.000 0.525
In1 In 0.096 0.500 0.258
# Density ... 7.3 g/cm3
# DOS(E_F) ... 12.46 states/eV/f.u.
# DFT total energy ... -0.300 Ry per atom



Entry 6:
# YbMgS3 | Alexandria via LeMat-Bulk | PBE-GGA | optimized geometry
data_YbMgS3
_chemical_formula_sum 'Yb4 Mg4 S12'
_cell_length_a 10.463
_cell_length_b 9.258
_cell_length_c 5.444
_cell_angle_alpha 90.00
_cell_angle_beta 102.83
_cell_angle_gamma 90.00
_symmetry_space_group_name_H-M 'C 1 2/m 1'
_symmetry_Int_Tables_number 12
loop_
_symmetry_equiv_pos_as_xyz
'x,y,z'
'-x,-y,-z'
'-x,y,-z'
'x,-y,z'
'x+1/2,y+1/2,z'
'-x+1/2,-y+1/2,-z'
'-x+1/2,y+1/2,-z'
'x+1/2,-y+1/2,z'
loop_
_atom_site_label
_atom_site_type_symbol
_atom_site_fract_x
_atom_site_fract_y
_atom_site_fract_z
Yb1 Yb 0.235 0.000 0.016
Mg1 Mg 0.000 0.169 0.500
S1 S 0.087 0.269 0.924
S2 S 0.180 0.000 0.488
# Density ... 3.8 g/cm3
# Energy above the lowest structure with this stoichiometry ... 0.00 eV/f.u.
# DOS(E_F) ... 20.00 states/eV/f.u.
# Formation energy (no corrections) ... -1.265 eV/atom



Entry 7:
# Zr2Ta2V | Alexandria via LeMat-Bulk | PBE-GGA | optimized geometry
data_Zr2Ta2V
_chemical_formula_sum 'Zr4 Ta4 V2'
_cell_length_a 6.509
_cell_length_b 6.509
_cell_length_c 4.815
_cell_angle_alpha 90.00
_cell_angle_beta 90.00
_cell_angle_gamma 90.00
_symmetry_space_group_name_H-M 'P 4/m b m'
_symmetry_Int_Tables_number 127
_symmetry_space_group_name_Hall '-P 4 2ab'
loop_
_atom_site_label
_atom_site_type_symbol
_atom_site_fract_x
_atom_site_fract_y
_atom_site_fract_z
Zr1 Zr 0.163 0.337 0.000
Ta1 Ta 0.154 0.654 0.500
V1 V 0.000 0.000 0.500
# Density ... 9.7 g/cm3
# DOS(E_F) ... 5.25 states/eV/f.u.
# DFT total energy ... -0.709 Ry per atom



Entry 8:
# AsPAu2 | Alexandria via LeMat-Bulk | PBE-GGA | optimized geometry
data_AsPAu2
_chemical_formula_sum 'As3 P3 Au6'
_cell_length_a 3.5768
_cell_length_b 3.5768
_cell_length_c 19.9571
_cell_angle_alpha 90.00
_cell_angle_beta 90.00
_cell_angle_gamma 120.00
_symmetry_space_group_name_H-M 'R 3 m'
_symmetry_Int_Tables_number 160
_symmetry_space_group_name_Hall 'R 3 -2"'
loop_
_atom_site_label
_atom_site_type_symbol
_atom_site_fract_x
_atom_site_fract_y
_atom_site_fract_z
As1 As 0.0000 0.0000 0.0000
P1 P 0.0000 0.0000 0.2597
Au1 Au 0.0000 0.0000 0.5169
Au2 Au 0.0000 0.0000 0.7530
# Density ... 11.3 g/cm3
# Energy above the lowest structure with this stoichiometry ... 0.00 eV/f.u.
# DOS(E_F) ... 1.68 states/eV/f.u.



Entry 9:
# SrScTcO6 | Alexandria via LeMat-Bulk | PBE-GGA | optimized geometry
data_SrScTcO6
_chemical_formula_sum 'Sr1 Sc1 Tc1 O6'
_cell_length_a 5.3385
_cell_length_b 5.3385
_cell_length_c 5.3342
_cell_angle_alpha 90.00
_cell_angle_beta 90.00
_cell_angle_gamma 120.00
_symmetry_space_group_name_H-M 'P 3 1 2'
_symmetry_Int_Tables_number 149
loop_
_symmetry_equiv_pos_as_xyz
'x,y,z'
'-y,x-y,z'
'-x+y,-x,z'
'-y,-x,-z'
'-x+y,y,-z'
'x,x-y,-z'
loop_
_atom_site_label
_atom_site_type_symbol
_atom_site_fract_x
_atom_site_fract_y
_atom_site_fract_z
Sr1 Sr 0.0000 0.0000 0.0000
Sc1 Sc 0.3333 0.6667 0.5000
Tc1 Tc 0.6667 0.3333 0.5000
O1 O 0.3895 0.0274 0.7040
# Density ... 4.1 g/cm3
# Formation energy (no corrections) ... -2.296 eV/atom



Entry 10:
# Tc2PW | Alexandria via LeMat-Bulk | PBE-GGA | optimized geometry
data_Tc2PW
_chemical_formula_sum 'Tc2 P1 W1'
_cell_length_a 2.989
_cell_length_b 4.292
_cell_length_c 4.476
_cell_angle_alpha 90.00
_cell_angle_beta 90.00
_cell_angle_gamma 90.00
_symmetry_space_group_name_H-M 'P m m m'
_symmetry_Int_Tables_number 47
loop_
_symmetry_equiv_pos_as_xyz
'x,y,z'
'-x,-y,-z'
'-x,-y,z'
'x,y,-z'
'x,-y,-z'
'-x,y,z'
'-x,y,-z'
'x,-y,z'
loop_
_atom_site_label
_atom_site_type_symbol
_atom_site_fract_x
_atom_site_fract_y
_atom_site_fract_z
Tc1 Tc 0.000 0.000 0.000
Tc2 Tc 0.500 0.000 0.500
P1 P 0.000 0.500 0.500
W1 W 0.500 0.500 0.000
# Density ... 11.9 g/cm3
# DOS(E_F) ... 3.77 states/eV/f.u.
# DFT total energy ... -0.709 Ry per atom



Entry 11:
# TbTm5In3 | Alexandria via LeMat-Bulk | PBE-GGA | optimized geometry
data_TbTm5In3
_chemical_formula_sum 'Tb2 Tm10 In6'
_cell_length_a 9.2379
_cell_length_b 9.2379
_cell_length_c 6.6661
_cell_angle_alpha 90.00
_cell_angle_beta 90.00
_cell_angle_gamma 120.00
_symmetry_space_group_name_H-M 'P 63/m c m'
_symmetry_Int_Tables_number 193
_symmetry_space_group_name_Hall '-P 6c 2'
loop_
_atom_site_label
_atom_site_type_symbol
_atom_site_fract_x
_atom_site_fract_y
_atom_site_fract_z
Tb1 Tb 0.0000 0.0000 0.0000
Tm1 Tm 0.0000 0.3331 0.2500
Tm2 Tm 0.3333 0.6667 0.0000
In1 In 0.0000 0.3351 0.7500
# Density ... 9.1 g/cm3
# DOS(E_F) ... 9.15 states/eV/f.u.
# DFT total energy ... -0.313 Ry per atom



Entry 12:
# BiPt2AuBr | Alexandria via LeMat-Bulk | PBE-GGA | optimized geometry
data_BiPt2AuBr
_chemical_formula_sum 'Bi1 Pt2 Au1 Br1'
_cell_length_a 5.121
_cell_length_b 5.121
_cell_length_c 4.905
_cell_angle_alpha 90.00
_cell_angle_beta 90.00
_cell_angle_gamma 90.00
_symmetry_space_group_name_H-M 'P 4/m m m'
_symmetry_Int_Tables_number 123
_symmetry_space_group_name_Hall '-P 4 2'
loop_
_atom_site_label
_atom_site_type_symbol
_atom_site_fract_x
_atom_site_fract_y
_atom_site_fract_z
Bi1 Bi 0.000 0.000 0.000
Pt1 Pt 0.000 0.500 0.500
Au1 Au 0.500 0.500 0.500
Br1 Br 0.500 0.500 0.000
# Density ... 11.3 g/cm3
# DOS(E_F) ... 5.30 states/eV/f.u.
# Formation energy (no corrections) ... 0.864 eV/atom



Entry 13:
# TlCuRu2O8 | Alexandria via LeMat-Bulk | PBE-GGA | optimized geometry
data_TlCuRu2O8
_chemical_formula_sum 'Tl3 Cu3 Ru6 O24'
_cell_length_a 5.1682
_cell_length_b 5.1682
_cell_length_c 25.4040
_cell_angle_alpha 90.00
_cell_angle_beta 90.00
_cell_angle_gamma 120.00
_symmetry_space_group_name_H-M 'R -3'
_symmetry_Int_Tables_number 148
_symmetry_space_group_name_Hall '-R 3'
loop_
_atom_site_label
_atom_site_type_symbol
_atom_site_fract_x
_atom_site_fract_y
_atom_site_fract_z
Tl1 Tl 0.0000 0.0000 0.0000
Cu1 Cu 0.0000 0.0000 0.5000
Ru1 Ru 0.0000 0.0000 0.2371
O1 O 0.0000 0.0000 0.3065
O2 O 0.0018 0.6447 0.1194
# Density ... 5.1 g/cm3
# DOS(E_F) ... 7.79 states/eV/f.u.
# Formation energy (no corrections) ... -0.710 eV/atom



Entry 14:
# TaFeAs3 | Alexandria via LeMat-Bulk | PBE-GGA | optimized geometry
data_TaFeAs3
_chemical_formula_sum 'Ta1 Fe1 As3'
_cell_length_a 4.527
_cell_length_b 4.527
_cell_length_c 4.527
_cell_angle_alpha 90.00
_cell_angle_beta 90.00
_cell_angle_gamma 90.00
_symmetry_space_group_name_H-M 'P m -3 m'
_symmetry_Int_Tables_number 221
_symmetry_space_group_name_Hall '-P 4 2 3'
loop_
_atom_site_label
_atom_site_type_symbol
_atom_site_fract_x
_atom_site_fract_y
_atom_site_fract_z
Ta1 Ta 0.000 0.000 0.000
Fe1 Fe 0.500 0.500 0.500
As1 As 0.000 0.500 0.500
# Density ... 8.3 g/cm3
# Energy above the lowest structure with this stoichiometry ... 0.16 eV/f.u.
# DOS(E_F) ... 5.13 states/eV/f.u.



Entry 15:
# Zn2MoCl | Alexandria via LeMat-Bulk | PBE-GGA | optimized geometry
data_Zn2MoCl
_chemical_formula_sum 'Zn8 Mo4 Cl4'
_cell_length_a 7.513
_cell_length_b 7.513
_cell_length_c 5.177
_cell_angle_alpha 90.00
_cell_angle_beta 90.00
_cell_angle_gamma 90.00
_symmetry_space_group_name_H-M 'I -4 2 d'
_symmetry_Int_Tables_number 122
_symmetry_space_group_name_Hall 'I -4 2bw'
loop_
_atom_site_label
_atom_site_type_symbol
_atom_site_fract_x
_atom_site_fract_y
_atom_site_fract_z
Zn1 Zn 0.244 0.250 0.125
Mo1 Mo 0.000 0.000 0.000
Cl1 Cl 0.000 0.000 0.500
# Density ... 6.0 g/cm3
# Energy above the lowest structure with this stoichiometry ... 1.96 eV/f.u.
# DOS(E_F) ... 2.69 states/eV/f.u.
# Formation energy (no corrections) ... 0.571 eV/atom



Entry 16:
# Tb3CeC8 | Alexandria via LeMat-Bulk | PBE-GGA | optimized geometry
data_Tb3CeC8
_chemical_formula_sum 'Tb12 Ce4 C32'
_cell_length_a 9.849
_cell_length_b 9.859
_cell_length_c 7.766
_cell_angle_alpha 90.00
_cell_angle_beta 90.00
_cell_angle_gamma 90.00
_symmetry_space_group_name_H-M 'F m m 2'
_symmetry_Int_Tables_number 42
_symmetry_space_group_name_Hall 'F 2 -2'
loop_
_atom_site_label
_atom_site_type_symbol
_atom_site_fract_x
_atom_site_fract_y
_atom_site_fract_z
Tb1 Tb 0.000 0.000 0.000
Tb2 Tb 0.250 0.250 0.250
Ce1 Ce 0.000 0.000 0.499
C1 C 0.000 0.166 0.258
C2 C 0.000 0.231 0.862
C3 C 0.166 0.000 0.743
C4 C 0.231 0.000 0.139
# Density ... 6.3 g/cm3
# DOS(E_F) ... 8.40 states/eV/f.u.
# DFT total energy ... -0.564 Ry per atom



Entry 17:
# In2TcW | Alexandria via LeMat-Bulk | PBE-GGA | optimized geometry
data_In2TcW
_chemical_formula_sum 'In2 Tc1 W1'
_cell_length_a 3.095
_cell_length_b 3.095
_cell_length_c 8.243
_cell_angle_alpha 90.00
_cell_angle_beta 90.00
_cell_angle_gamma 90.00
_symmetry_space_group_name_H-M 'P 4 m m'
_symmetry_Int_Tables_number 99
loop_
_symmetry_equiv_pos_as_xyz
'x,y,z'
'-y,x,z'
'-x,-y,z'
'y,-x,z'
'-x,y,z'
'y,x,z'
'x,-y,z'
'-y,-x,z'
loop_
_atom_site_label
_atom_site_type_symbol
_atom_site_fract_x
_atom_site_fract_y
_atom_site_fract_z
In1 In 0.000 0.000 0.000
In2 In 0.500 0.500 0.339
Tc1 Tc 0.000 0.000 0.579
W1 W 0.500 0.500 0.749
# Density ... 10.8 g/cm3
# Energy above the lowest structure with this stoichiometry ... 0.25 eV/f.u.
# DOS(E_F) ... 3.32 states/eV/f.u.



Entry 18:
# Nd3Bi2N2 | Alexandria via LeMat-Bulk | PBE-GGA | optimized geometry
data_Nd3Bi2N2
_chemical_formula_sum 'Nd6 Bi4 N4'
_cell_length_a 13.605
_cell_length_b 3.860
_cell_length_c 7.895
_cell_angle_alpha 90.00
_cell_angle_beta 114.48
_cell_angle_gamma 90.00
_symmetry_space_group_name_H-M 'C 1 2/m 1'
_symmetry_Int_Tables_number 12
loop_
_symmetry_equiv_pos_as_xyz
'x,y,z'
'-x,-y,-z'
'-x,y,-z'
'x,-y,z'
'x+1/2,y+1/2,z'
'-x+1/2,-y+1/2,-z'
'-x+1/2,y+1/2,-z'
'x+1/2,-y+1/2,z'
loop_
_atom_site_label
_atom_site_type_symbol
_atom_site_fract_x
_atom_site_fract_y
_atom_site_fract_z
Nd1 Nd 0.000 0.000 0.000
Nd2 Nd 0.213 0.000 0.796
Bi1 Bi 0.071 0.500 0.393
N1 N 0.186 0.000 0.069
# Density ... 7.7 g/cm3
# DOS(E_F) ... 1.54 states/eV/f.u.
# Formation energy (no corrections) ... -0.958 eV/atom



Entry 19:
# AlW2C | Alexandria via LeMat-Bulk | PBE-GGA | optimized geometry
data_AlW2C
_chemical_formula_sum 'Al4 W8 C4'
_cell_length_a 4.984
_cell_length_b 4.984
_cell_length_c 11.623
_cell_angle_alpha 90.00
_cell_angle_beta 90.00
_cell_angle_gamma 90.00
_symmetry_space_group_name_H-M 'I -4 2 d'
_symmetry_Int_Tables_number 122
_symmetry_space_group_name_Hall 'I -4 2bw'
loop_
_atom_site_label
_atom_site_type_symbol
_atom_site_fract_x
_atom_site_fract_y
_atom_site_fract_z
Al1 Al 0.000 0.000 0.000
W1 W 0.118 0.250 0.625
C1 C 0.000 0.000 0.500
# Density ... 9.4 g/cm3
# Energy above the lowest structure with this stoichiometry ... 4.45 eV/f.u.
# DOS(E_F) ... 4.36 states/eV/f.u.



Entry 20:
# Ga2Pd12Pt5 | Alexandria via LeMat-Bulk | PBE-GGA | optimized geometry
data_Ga2Pd12Pt5
_chemical_formula_sum 'Ga4 Pd24 Pt10'
_cell_length_a 11.748
_cell_length_b 8.428
_cell_length_c 6.044
_cell_angle_alpha 90.00
_cell_angle_beta 90.69
_cell_angle_gamma 90.00
_symmetry_space_group_name_H-M 'C 1 2/m 1'
_symmetry_Int_Tables_number 12
loop_
_symmetry_equiv_pos_as_xyz
'x,y,z'
'-x,-y,-z'
'-x,y,-z'
'x,-y,z'
'x+1/2,y+1/2,z'
'-x+1/2,-y+1/2,-z'
'-x+1/2,y+1/2,-z'
'x+1/2,-y+1/2,z'
loop_
_atom_site_label
_atom_site_type_symbol
_atom_site_fract_x
_atom_site_fract_y
_atom_site_fract_z
Ga1 Ga 0.000 0.236 0.000
Pd1 Pd 0.051 0.000 0.704
Pd2 Pd 0.102 0.236 0.380
Pd3 Pd 0.117 0.500 0.090
Pd4 Pd 0.188 0.254 0.803
Pt1 Pt 0.000 0.500 0.500
Pt2 Pt 0.164 0.000 0.095
Pt3 Pt 0.234 0.500 0.496
# Density ... 13.3 g/cm3
# DOS(E_F) ... 22.14 states/eV/f.u.
# DFT total energy ... -0.392 Ry per atom